Crystalline MoH2Os at its relaxed geometry, computed with PBE.

Properties
Offset from the most stable computed form ... 0.000 eV/atom
Symmetry ... I-42d, No. 122
Raw total energy ... -6.923 eV/atom

Lattice parameters (Å, degrees): 5.1071 5.1071 5.1071 131.68 131.68 70.74
Last column: nearest neighbours and their distance in Å.
Positions (direct):
Mo (0.0000, 0.0000, 0.0000)  4 H 1.84
Mo (0.7500, 0.2500, 0.5000)  4 H 1.84
H (0.1387, 0.6250, 0.0137)  2 Os 1.78, 2 Mo 1.84
H (0.3750, 0.3887, 0.5137)  2 Os 1.78, 2 Mo 1.84
H (0.6113, 0.1250, 0.9863)  2 Os 1.78, 2 Mo 1.84
H (0.8750, 0.8613, 0.4863)  2 Os 1.78, 2 Mo 1.84
Os (0.2500, 0.7500, 0.5000)  4 H 1.78
Os (0.5000, 0.5000, 0.0000)  4 H 1.78